Entry 1:
RbI2BrN | SCAN | single point on PBEsol structure

density of states at the Fermi level	3.557	states/eV per cell
raw formation energy	76.0	kJ per mole of atoms
M_tot	5.00	μB per formula unit

Cell: 5.634 6.757 6.757 Å, 90.00 90.00 90.00°
Atoms (fractional coordinates):
I: 0.000 0.000 0.500
I: 0.000 0.500 0.000
Br: 0.500 0.500 0.500
Rb: 0.000 0.000 0.000
N: 0.500 0.000 0.000



Entry 2:
RhI2BrN | SCAN | single point on PBEsol structure

density of states at the Fermi level	3.427	states/eV per cell
raw formation energy	132.8	kJ per mole of atoms
M_tot	2.27	μB per formula unit

Cell: 4.307 4.931 4.931 Å, 90.00 90.00 90.00°
Atoms (fractional coordinates):
I: 0.000 0.000 0.500
I: 0.000 0.500 0.000
Rh: 0.500 0.500 0.500
Br: 0.500 0.000 0.000
N: 0.000 0.000 0.000



Entry 3:
RuIBrN2 | SCAN | single point on PBEsol structure

density of states at the Fermi level	3.303	states/eV per cell
raw formation energy	238.1	kJ per mole of atoms
M_tot	3.70	μB per formula unit

Cell: 3.818 3.818 6.695 Å, 90.00 90.00 90.00°
Atoms (fractional coordinates):
I: 0.000 0.000 0.500
Ru: 0.500 0.500 0.500
Br: 0.000 0.000 0.000
N: 0.000 0.500 0.000
N: 0.500 0.000 0.000



Entry 4:
SbI2BrN | SCAN | single point on PBEsol structure

density of states at the Fermi level	4.354	states/eV per cell
raw formation energy	127.0	kJ per mole of atoms
M_tot	0.00	μB per formula unit

Cell: 3.684 6.195 6.195 Å, 90.00 90.00 90.00°
Atoms (fractional coordinates):
I: 0.000 0.000 0.500
I: 0.000 0.500 0.000
Sb: 0.500 0.500 0.500
Br: 0.000 0.000 0.000
N: 0.500 0.000 0.000



Entry 5:
SnI2BrN | SCAN | single point on PBEsol structure

density of states at the Fermi level	5.538	states/eV per cell
raw formation energy	69.4	kJ per mole of atoms
M_tot	1.90	μB per formula unit

Cell: 3.883 6.005 6.005 Å, 90.00 90.00 90.00°
Atoms (fractional coordinates):
I: 0.000 0.000 0.500
I: 0.000 0.500 0.000
Sn: 0.000 0.000 0.000
Br: 0.500 0.500 0.500
N: 0.500 0.000 0.000



Entry 6:
SnIBrN2 | SCAN | single point on PBEsol structure

density of states at the Fermi level	2.186	states/eV per cell
raw formation energy	191.2	kJ per mole of atoms
M_tot	2.20	μB per formula unit
energy relative to the lowest polymorph listed for this composition	327.6	meV per atom

Cell: 4.212 4.212 6.487 Å, 90.00 90.00 90.00°
Atoms (fractional coordinates):
I: 0.000 0.000 0.500
Sn: 0.500 0.500 0.500
Br: 0.000 0.000 0.000
N: 0.000 0.500 0.000
N: 0.500 0.000 0.000



Entry 7:
SnIBrN2 | SCAN | single point on PBEsol structure

density of states at the Fermi level	3.286	states/eV per cell
raw formation energy	159.6	kJ per mole of atoms
M_tot	0.01	μB per formula unit
energy relative to the lowest polymorph listed for this composition	0.0	meV per atom

Cell: 4.146 4.146 6.281 Å, 90.00 90.00 90.00°
Atoms (fractional coordinates):
I: 0.000 0.000 0.000
Sn: 0.500 0.500 0.500
Br: 0.000 0.000 0.500
N: 0.000 0.500 0.000
N: 0.500 0.000 0.000



Entry 8:
ZrI2BrN | SCAN | single point on PBEsol structure

density of states at the Fermi level	3.965	states/eV per cell
raw formation energy	118.5	kJ per mole of atoms
M_tot	1.32	μB per formula unit
energy relative to the lowest polymorph listed for this composition	1392.0	meV per atom

Cell: 3.651 6.020 6.020 Å, 90.00 90.00 90.00°
Atoms (fractional coordinates):
I: 0.000 0.000 0.500
I: 0.000 0.500 0.000
Br: 0.000 0.000 0.000
Zr: 0.500 0.500 0.500
N: 0.500 0.000 0.000



Entry 9:
ZrI2BrN | SCAN | single point on PBEsol structure

density of states at the Fermi level	7.802	states/eV per cell
raw formation energy	-15.8	kJ per mole of atoms
M_tot	0.01	μB per formula unit
energy relative to the lowest polymorph listed for this composition	0.0	meV per atom

Cell: 3.938 5.853 5.853 Å, 90.00 90.00 90.00°
Atoms (fractional coordinates):
I: 0.000 0.000 0.500
I: 0.000 0.500 0.000
Br: 0.500 0.500 0.500
Zr: 0.000 0.000 0.000
N: 0.500 0.000 0.000



Entry 10:
Na3IBr | SCAN | single point on PBEsol structure

density of states at the Fermi level	1.750	states/eV per cell
raw formation energy	-91.5	kJ per mole of atoms
M_tot	0.00	μB per formula unit
energy relative to the lowest polymorph listed for this composition	0.0	meV per atom

Cell: 5.672 5.672 5.672 Å, 90.00 90.00 90.00°
Atoms (fractional coordinates):
I: 0.500 0.500 0.500
Na: 0.000 0.500 0.000
Na: 0.000 0.000 0.500
Na: 0.500 0.000 0.000
Br: 0.000 0.000 0.000



Entry 11:
Na2IBr | SCAN | single point on PBEsol structure

density of states at the Fermi level	0.000	states/eV per cell
raw formation energy	-144.2	kJ per mole of atoms
M_tot	0.00	μB per formula unit

Cell: 6.988 6.988 8.075 Å, 115.64 115.64 90.00°
Atoms (fractional coordinates):
I: 0.250 0.750 0.500
I: 0.000 0.000 0.000
Na: 0.403 0.875 0.250
Na: 0.847 0.375 0.250
Na: 0.125 0.153 0.750
Na: 0.625 0.597 0.750
Br: 0.750 0.250 0.500
Br: 0.500 0.500 0.000



Entry 12:
NaIBr2 | SCAN | single point on PBEsol structure

density of states at the Fermi level	0.000	states/eV per cell
raw formation energy	-85.6	kJ per mole of atoms
M_tot	0.00	μB per formula unit

Cell: 4.575 4.575 8.571 Å, 74.52 74.52 60.00°
Atoms (fractional coordinates):
I: 0.000 0.000 0.000
Na: 0.500 0.500 0.500
Br: 0.889 0.889 0.332
Br: 0.111 0.111 0.668